Pr2Dy6Tm3In: optimized geometry, PBE-GGA.

Cell lengths 6.0866, 6.0866, 11.7108 Å; angles 94.97, 94.97, 120.03 degrees
With the nearest neighbours (Å) after each atom.
Atoms (fractional coordinates):
Dy: 0.7572 0.7572 0.2532  6 Dy 3.45-3.55, 3 Tm 3.48-3.52, 1 In 3.54, 2 Pr 3.56
Dy: 0.5890 0.9160 0.7476  6 Dy 3.45-3.55, 3 Tm 3.49-3.53, 1 In 3.53, 2 Pr 3.56
Dy: 0.4110 0.0840 0.2524  6 Dy 3.45-3.55, 3 Tm 3.49-3.53, 1 In 3.53, 2 Pr 3.56
Dy: 0.0840 0.4110 0.2524  6 Dy 3.45-3.55, 3 Tm 3.49-3.53, 1 In 3.53, 2 Pr 3.56
Dy: 0.2428 0.2428 0.7468  6 Dy 3.45-3.55, 3 Tm 3.48-3.52, 1 In 3.54, 2 Pr 3.56
Dy: 0.9160 0.5890 0.7476  6 Dy 3.45-3.55, 3 Tm 3.49-3.53, 1 In 3.53, 2 Pr 3.56
Tm: 0.5000 0.5000 0.5000  6 Dy 3.49-3.52, 6 Tm 3.51-3.52
Tm: 0.8334 0.1666 0.5000  6 Dy 3.48-3.53, 6 Tm 3.51-3.52
Tm: 0.1666 0.8334 0.5000  6 Dy 3.48-3.53, 6 Tm 3.51-3.52
Pr: 0.6662 0.3338 0.0000  3 Pr 3.50-3.52, 3 In 3.51-3.52, 6 Dy 3.56
Pr: 0.3338 0.6662 0.0000  3 Pr 3.50-3.52, 3 In 3.51-3.52, 6 Dy 3.56
In: 0.0000 0.0000 0.0000  6 Pr 3.51-3.52, 6 Dy 3.53-3.54

Pr3Dy6Tm2In: optimized geometry, PBE-GGA.

Cell lengths 6.1678, 6.1678, 11.6400 Å; angles 95.08, 95.08, 120.01 degrees
With the nearest neighbours (Å) after each atom.
Atoms (fractional coordinates):
Dy: 0.5927 0.9206 0.7593  1 In 3.42, 2 Tm 3.45, 6 Dy 3.50-3.59, 3 Pr 3.60-3.63
Dy: 0.0794 0.4073 0.2407  1 In 3.42, 2 Tm 3.45, 6 Dy 3.50-3.59, 3 Pr 3.60-3.63
Dy: 0.2479 0.2479 0.7583  1 In 3.43, 2 Tm 3.46, 6 Dy 3.50-3.59, 3 Pr 3.60-3.62
Dy: 0.7521 0.7521 0.2417  1 In 3.43, 2 Tm 3.46, 6 Dy 3.50-3.59, 3 Pr 3.60-3.62
Dy: 0.4073 0.0794 0.2407  1 In 3.42, 2 Tm 3.45, 6 Dy 3.50-3.59, 3 Pr 3.60-3.63
Dy: 0.9206 0.5927 0.7593  1 In 3.42, 2 Tm 3.45, 6 Dy 3.50-3.59, 3 Pr 3.60-3.63
Pr: 0.5000 0.5000 0.5000  6 Pr 3.56, 6 Dy 3.60-3.62
Pr: 0.1671 0.8329 0.5000  6 Pr 3.56-3.57, 6 Dy 3.60-3.63
Pr: 0.8329 0.1671 0.5000  6 Pr 3.56-3.57, 6 Dy 3.60-3.63
In: 0.0000 0.0000 0.0000  6 Dy 3.42-3.43, 6 Tm 3.56-3.57
Tm: 0.3338 0.6662 0.0000  6 Dy 3.45-3.46, 3 Tm 3.55-3.57, 3 In 3.56-3.57
Tm: 0.6662 0.3338 0.0000  6 Dy 3.45-3.46, 3 Tm 3.55-3.57, 3 In 3.56-3.57

PrDyTm2In4: optimized geometry, PBE-GGA.

Cell lengths 5.3364, 5.3364, 9.2730 Å; angles 73.28, 73.28, 60.00 degrees
With the nearest neighbours (Å) after each atom.
Atoms (fractional coordinates):
Tm: 0.2496 0.2496 0.2512  8 In 3.23-3.34
Tm: 0.7504 0.7504 0.7488  8 In 3.23-3.34
In: 0.8734 0.8734 0.3799  4 Tm 3.23-3.28, 3 Dy 3.26, 1 Pr 3.32
In: 0.1266 0.1266 0.6201  4 Tm 3.23-3.28, 3 Dy 3.26, 1 Pr 3.32
In: 0.3769 0.3769 0.8694  1 Dy 3.23, 4 Tm 3.26-3.34, 3 Pr 3.29
In: 0.6231 0.6231 0.1306  1 Dy 3.23, 4 Tm 3.26-3.34, 3 Pr 3.29
Pr: 0.0000 0.0000 0.0000  8 In 3.29-3.32
Dy: 0.5000 0.5000 0.5000  8 In 3.23-3.26

Pr6Dy3Tm2In: optimized geometry, PBE-GGA.

Cell lengths 6.2441, 6.2441, 11.8223 Å; angles 95.12, 95.12, 120.16 degrees
With the nearest neighbours (Å) after each atom.
Atoms (fractional coordinates):
Dy: 0.8320 0.1680 0.5000  6 Dy 3.58-3.64, 6 Pr 3.59-3.62
Dy: 0.1680 0.8320 0.5000  6 Dy 3.58-3.64, 6 Pr 3.59-3.62
Dy: 0.5000 0.5000 0.5000  6 Dy 3.59-3.61, 6 Pr 3.60-3.62
In: 0.0000 0.0000 0.0000  6 Pr 3.52-3.54, 6 Tm 3.60-3.61
Pr: 0.9185 0.5905 0.7536  1 In 3.52, 6 Pr 3.54-3.64, 2 Tm 3.55-3.56, 3 Dy 3.60-3.62
Pr: 0.2458 0.2458 0.7521  1 In 3.54, 6 Pr 3.54-3.64, 2 Tm 3.56, 3 Dy 3.59-3.62
Pr: 0.4095 0.0815 0.2464  1 In 3.52, 6 Pr 3.54-3.64, 2 Tm 3.55-3.56, 3 Dy 3.60-3.62
Pr: 0.0815 0.4095 0.2464  1 In 3.52, 6 Pr 3.54-3.64, 2 Tm 3.55-3.56, 3 Dy 3.60-3.62
Pr: 0.7542 0.7542 0.2479  1 In 3.54, 6 Pr 3.54-3.64, 2 Tm 3.56, 3 Dy 3.59-3.62
Pr: 0.5905 0.9185 0.7536  1 In 3.52, 6 Pr 3.54-3.64, 2 Tm 3.55-3.56, 3 Dy 3.60-3.62
Tm: 0.6663 0.3337 0.0000  6 Pr 3.55-3.56, 3 In 3.60-3.61, 3 Tm 3.60
Tm: 0.3337 0.6663 0.0000  6 Pr 3.55-3.56, 3 In 3.60-3.61, 3 Tm 3.60

Pr3Dy2Y6In: optimized geometry, PBE-GGA.

Cell lengths 6.1925, 6.1925, 11.7454 Å; angles 95.05, 95.05, 119.99 degrees
With the nearest neighbours (Å) after each atom.
Atoms (fractional coordinates):
Y: 0.2467 0.2467 0.7576  1 In 3.46, 2 Dy 3.49, 6 Y 3.51-3.61, 3 Pr 3.61-3.64
Y: 0.7533 0.7533 0.2424  1 In 3.46, 2 Dy 3.49, 6 Y 3.51-3.61, 3 Pr 3.61-3.64
Y: 0.9201 0.5933 0.7582  1 In 3.45, 2 Dy 3.49, 6 Y 3.51-3.61, 3 Pr 3.62-3.65
Y: 0.5933 0.9201 0.7582  1 In 3.45, 2 Dy 3.49, 6 Y 3.51-3.61, 3 Pr 3.62-3.65
Y: 0.0799 0.4067 0.2418  1 In 3.45, 2 Dy 3.49, 6 Y 3.51-3.61, 3 Pr 3.62-3.65
Y: 0.4067 0.0799 0.2418  1 In 3.45, 2 Dy 3.49, 6 Y 3.51-3.61, 3 Pr 3.62-3.65
In: 0.0000 0.0000 0.0000  6 Y 3.45-3.46, 6 Dy 3.57-3.58
Dy: 0.3336 0.6664 0.0000  6 Y 3.49, 3 Dy 3.57-3.58, 3 In 3.57-3.58
Dy: 0.6664 0.3336 0.0000  6 Y 3.49, 3 Dy 3.57-3.58, 3 In 3.57-3.58
Pr: 0.8332 0.1668 0.5000  6 Pr 3.57-3.58, 6 Y 3.61-3.65
Pr: 0.1668 0.8332 0.5000  6 Pr 3.57-3.58, 6 Y 3.61-3.65
Pr: 0.5000 0.5000 0.5000  6 Pr 3.57-3.58, 6 Y 3.62-3.64

Pr2Dy3Y6In: optimized geometry, PBE-GGA.

Cell lengths 6.1400, 6.1400, 11.7813 Å; angles 95.00, 95.00, 120.02 degrees
With the nearest neighbours (Å) after each atom.
Atoms (fractional coordinates):
Pr: 0.3337 0.6663 0.0000  3 Pr 3.54-3.55, 3 In 3.54-3.55, 6 Y 3.56
Pr: 0.6663 0.3337 0.0000  3 Pr 3.54-3.55, 3 In 3.54-3.55, 6 Y 3.56
Y: 0.4090 0.0827 0.2496  6 Y 3.47-3.58, 1 In 3.52, 3 Dy 3.54-3.58, 2 Pr 3.56
Y: 0.9173 0.5910 0.7504  6 Y 3.47-3.58, 1 In 3.52, 3 Dy 3.54-3.58, 2 Pr 3.56
Y: 0.2434 0.2434 0.7496  6 Y 3.47-3.58, 1 In 3.53, 3 Dy 3.53-3.57, 2 Pr 3.56
Y: 0.5910 0.9173 0.7504  6 Y 3.47-3.58, 1 In 3.52, 3 Dy 3.54-3.58, 2 Pr 3.56
Y: 0.7566 0.7566 0.2504  6 Y 3.47-3.58, 1 In 3.53, 3 Dy 3.53-3.57, 2 Pr 3.56
Y: 0.0827 0.4090 0.2496  6 Y 3.47-3.58, 1 In 3.52, 3 Dy 3.54-3.58, 2 Pr 3.56
Dy: 0.1664 0.8336 0.5000  6 Y 3.53-3.58, 6 Dy 3.54-3.55
Dy: 0.5000 0.5000 0.5000  6 Y 3.54-3.57, 6 Dy 3.54-3.55
Dy: 0.8336 0.1664 0.5000  6 Y 3.53-3.58, 6 Dy 3.54-3.55
In: 0.0000 0.0000 0.0000  6 Y 3.52-3.53, 6 Pr 3.54-3.55

Pr6Dy2Y3In: optimized geometry, PBE-GGA.

Cell lengths 6.2640, 6.2640, 11.8891 Å; angles 95.09, 95.09, 120.16 degrees
With the nearest neighbours (Å) after each atom.
Atoms (fractional coordinates):
Pr: 0.2450 0.2450 0.7522  6 Pr 3.54-3.65, 1 In 3.55, 2 Dy 3.58, 3 Y 3.61-3.64
Pr: 0.0816 0.4090 0.2466  1 In 3.54, 6 Pr 3.54-3.65, 2 Dy 3.57-3.58, 3 Y 3.61-3.64
Pr: 0.5910 0.9184 0.7534  1 In 3.54, 6 Pr 3.54-3.65, 2 Dy 3.57-3.58, 3 Y 3.61-3.64
Pr: 0.9184 0.5910 0.7534  1 In 3.54, 6 Pr 3.54-3.65, 2 Dy 3.57-3.58, 3 Y 3.61-3.64
Pr: 0.7550 0.7550 0.2478  6 Pr 3.54-3.65, 1 In 3.55, 2 Dy 3.58, 3 Y 3.61-3.64
Pr: 0.4090 0.0816 0.2466  1 In 3.54, 6 Pr 3.54-3.65, 2 Dy 3.57-3.58, 3 Y 3.61-3.64
In: 0.0000 0.0000 0.0000  6 Pr 3.54-3.55, 6 Dy 3.61-3.62
Y: 0.1673 0.8327 0.5000  6 Y 3.60-3.63, 6 Pr 3.61-3.64
Y: 0.8327 0.1673 0.5000  6 Y 3.60-3.63, 6 Pr 3.61-3.64
Y: 0.5000 0.5000 0.5000  6 Y 3.61, 6 Pr 3.61-3.64
Dy: 0.3336 0.6664 0.0000  6 Pr 3.57-3.58, 3 In 3.61-3.62, 3 Dy 3.61
Dy: 0.6664 0.3336 0.0000  6 Pr 3.57-3.58, 3 In 3.61-3.62, 3 Dy 3.61

Pr2DyZn2In2: optimized geometry, PBE-GGA.

Cell lengths 4.7332, 4.7332, 9.8491 Å; angles 76.10, 76.10, 60.00 degrees
With the nearest neighbours (Å) after each atom.
Atoms (fractional coordinates):
In: 0.2688 0.2688 0.1937  3 Zn 2.74
In: 0.7312 0.7312 0.8063  3 Zn 2.74
Pr: 0.8737 0.8737 0.3790  3 In 3.25, 3 Zn 3.37, 3 Pr 3.56, 1 Dy 3.59
Pr: 0.1263 0.1263 0.6210  3 In 3.25, 3 Zn 3.37, 3 Pr 3.56, 1 Dy 3.59
Zn: 0.3904 0.3904 0.8287  3 In 2.74
Zn: 0.6096 0.6096 0.1713  3 In 2.74
Dy: 0.0000 0.0000 0.0000  6 Zn 3.18, 6 In 3.29

DyIn2Pt: optimized geometry, PBE-GGA.

Cell lengths 3.4859, 3.4859, 10.3462 Å; angles 80.30, 80.30, 60.00 degrees
With the nearest neighbours (Å) after each atom.
Atoms (fractional coordinates):
In: 0.8957 0.8957 0.3130  3 Pt 2.77
In: 0.1043 0.1043 0.6870  3 Pt 2.77
Pt: 0.5000 0.5000 0.5000  6 In 2.77
Dy: 0.0000 0.0000 0.0000  2 In 3.18, 6 Dy 3.49

Dy8InPt2: optimized geometry, PBE-GGA.

Cell lengths 5.4543, 8.0425, 8.0425 Å; angles 114.20, 98.09, 98.09 degrees
With the nearest neighbours (Å) after each atom.
Atoms (fractional coordinates):
Dy: 0.1952 0.3950 0.3950  2 Pt 3.13, 4 Dy 3.19-3.41, 1 In 3.31
Dy: 0.8049 0.6114 0.6114  2 Pt 3.13, 4 Dy 3.19-3.41, 1 In 3.31
Dy: 0.5740 0.0813 0.3316  2 Pt 2.88-2.98
Dy: 0.4257 0.9248 0.6745  2 Pt 2.88-2.98
Dy: 0.5740 0.3316 0.0813  2 Pt 2.88-2.98
Dy: 0.0000 0.7576 0.2481  2 Pt 2.84
Dy: 0.0000 0.2481 0.7576  2 Pt 2.84
Dy: 0.4257 0.6745 0.9248  2 Pt 2.88-2.98
In: 0.9999 0.0033 0.0033  12 Dy 3.31-3.68
Pt: 0.5001 0.6980 0.3082  8 Dy 2.84-3.13
Pt: 0.5001 0.3082 0.6980  8 Dy 2.84-3.13

Dy3In4Pt4: optimized geometry, PBE-GGA.

Cell lengths 3.7877, 8.0225, 9.1218 Å; angles 116.09, 101.98, 90.00 degrees
With the nearest neighbours (Å) after each atom.
Atoms (fractional coordinates):
Pt: 0.5000 0.2028 0.0000  2 In 2.79, 6 Dy 3.03-3.04
Pt: 0.7563 0.2563 0.5126  6 In 2.74-2.83, 2 Dy 3.03
Pt: 0.2437 0.7437 0.4874  6 In 2.74-2.83, 2 Dy 3.03
Pt: 0.5000 0.7972 0.0000  2 In 2.79, 6 Dy 3.03-3.04
Dy: 0.1078 0.1078 0.2155  6 Pt 3.03, 4 In 3.23
Dy: 0.8922 0.8922 0.7845  6 Pt 3.03, 4 In 3.23
Dy: 0.0000 0.5000 0.0000  4 Pt 3.04
In: 0.6670 0.4719 0.3341  4 Pt 2.74-2.83
In: 0.3330 0.5281 0.6659  4 Pt 2.74-2.83
In: 0.3330 0.1378 0.6659  4 Pt 2.74-2.83
In: 0.6670 0.8622 0.3341  4 Pt 2.74-2.83

E_form readings, ordered: -0.66 -0.37 -3.57 -0.29 -0.49 -0.69 -0.40 -2.09 -0.02 -5.63 -9.58 eV per formula unit